Record 1
Here is a relaxed Pm3TeRhN crystal from Alexandria. Energies are from PBE-GGA.

Structure (POSCAR):
```
Pm3TeRhN
1.0
-2.548 1.800 -2.660
-2.926 -8.204 -2.749
-5.946 2.074 7.098
Rh Pm Te N
2 6 2 2
Cartesian
-3.499 -4.531 -1.294
-7.920 0.201 2.984
-5.412 1.113 1.199
-6.019 1.126 4.947
-6.007 -5.444 0.491
-5.401 -5.456 -3.257
-7.474 -2.476 3.904
-3.945 -1.855 -2.215
-8.996 -3.809 1.301
-2.424 -0.521 0.389
-4.471 0.962 3.354
-6.948 -5.293 -1.664
```

Computed properties:
Crystal system   monoclinic
Formation energy from raw total energies   -1.06 eV/atom
Space group   P2_1/m, No. 11
V   28.88 A^3/atom
Electronic total energy   -78.857 eV for the cell shown

---

Record 2
Here is a relaxed RbZrFeB2 crystal from Alexandria. Energies are from PBE-GGA.

Structure (POSCAR):
```
RbZrFeB2
1.0
4.535 0.000 0.000
0.000 5.795 0.000
0.000 0.000 4.535
Fe B Zr Rb
1 2 1 1
Cartesian
2.268 2.897 2.268
0.000 0.000 2.268
2.268 0.000 0.000
0.000 0.000 0.000
0.000 2.897 0.000
```

Computed properties:
Crystal system   tetragonal
ΔH_f (0 K)   2.1314 eV per atom
Space group   P4/mmm, No. 123
V   23.84 A^3/atom
Electronic total energy   -20.676 eV for the cell shown

---

Record 3
Here is a relaxed CaTeMo2 crystal from Alexandria. Energies are from PBE-GGA.

Structure (POSCAR):
```
CaTeMo2
1.0
-1.003 -4.489 -1.279
-0.188 -1.222 4.611
-2.718 3.579 -1.610
Mo Ca Te
2 1 1
Cartesian
0.000 0.000 0.000
-1.751 -0.249 2.334
-2.158 -1.883 -0.611
-0.595 -2.856 1.666
```

Computed properties:
Crystal system   tetragonal
Formation energy from raw total energies   0.45 eV/atom
Space group   I-4m2, No. 119
V   19.33 A^3/atom
Electronic total energy   -24.991 eV for the cell shown

---

Number 1: density of states at the Fermi level 2.9 states/eV/f.u.. Number 2: density of states at the Fermi level 5.0 states/eV/f.u.. Number 3: density of states at the Fermi level 3.4 states/eV/f.u..